[1]
Density functional theory data (PBE) for a relaxed structure of BaPdPb.

```
12
Lattice="-5.135 -1.112 4.685 -4.775 -0.704 -5.400 3.073 -6.853 -1.825" Properties=species:S:1:pos:R:3 pbc="T T T"
Pd -8.204 -3.897 -1.063
Pd -4.250 -2.124 0.067
Pd 1.368 -4.771 -1.476
Pd -2.585 -6.544 -2.606
Ba -1.475 -7.179 0.838
Ba -5.382 -5.324 -0.805
Ba -1.454 -3.345 -1.734
Ba -5.361 -1.490 -3.377
Pb -4.043 -4.885 -4.230
Pb 0.175 -6.821 -2.851
Pb -7.010 -1.848 0.311
Pb -2.792 -3.783 1.690
```

Values from the calculation:
DFT formation energy (meV per atom): -596
Crystal system: monoclinic
DOS at the Fermi energy (states/eV/cell): 3.79
Symmetry: P2_1/c (14)

=====

[2]
Density functional theory data (PBE) for a relaxed structure of ZnFe2Au.

```
4
Lattice="2.831 0.000 0.000 0.000 4.445 0.035 0.000 3.134 4.515" Properties=species:S:1:pos:R:3 pbc="T T T"
Fe 1.416 2.222 0.018
Fe 0.000 0.000 0.000
Au 0.000 1.567 2.257
Zn 1.416 3.789 2.275
```

Values from the calculation:
DFT formation energy (meV per atom): 126
Crystal system: monoclinic
DOS at the Fermi energy (states/eV/cell): 3.61
Symmetry: P2/m (10)

=====

[3]
Density functional theory data (PBE) for a relaxed structure of HfNbP.

```
18
Lattice="-2.636 -0.414 2.308 -1.875 -6.058 -3.229 7.493 -6.280 7.429" Properties=species:S:1:pos:R:3 pbc="T T T"
Hf 1.865 -7.611 0.763
Hf 3.752 -4.727 3.436
Hf -1.092 -5.133 -2.168
Hf 6.709 -7.205 6.368
Hf 1.531 -2.676 1.267
Hf 4.087 -9.661 2.932
Nb -1.313 -3.630 0.545
Nb 0.743 -5.353 2.583
Nb 2.239 -7.399 3.924
Nb 4.295 -9.122 5.962
Nb 3.971 -5.986 6.155
Nb -0.989 -6.766 0.352
P -0.707 -1.336 1.648
P 4.810 -7.326 4.177
P 0.808 -5.012 0.022
P 1.515 -3.198 3.852
P 1.467 -9.554 2.656
P 3.689 -11.416 4.859
```

Values from the calculation:
DFT formation energy (meV per atom): -912
Crystal system: orthorhombic
DOS at the Fermi energy (states/eV/cell): 8.75
Symmetry: Pmma (51)

=====

[4]
Density functional theory data (PBE) for a relaxed structure of Dy2Er6Sc.

```
9
Lattice="4.926 -0.003 -0.001 -2.463 2.064 -5.115 0.005 -0.280 27.243" Properties=species:S:1:pos:R:3 pbc="T T T"
Er 0.002 0.794 9.831
Er 0.001 0.360 4.922
Er 0.004 1.611 19.673
Er 2.463 0.170 2.454
Er 2.467 1.422 17.204
Er 2.466 0.987 12.295
Dy 0.003 1.226 14.765
Dy 2.464 0.556 7.362
Sc 0.000 0.000 0.000
```

Values from the calculation:
DFT formation energy (meV per atom): 33
Crystal system: monoclinic
DOS at the Fermi energy (states/eV/cell): 12.17
Symmetry: C2/m (12)

=====

- DOS at the Fermi energy of number 3 (HfNbP)?
  8.75 states/eV/cell